No. 1
Li2AsH | PBE | relaxed

a b c (Å): 3.906 3.959 7.082
angles (deg): 90.00 90.00 90.00
Element x y z (fractional)
Li: 0.250 0.250 0.011
Li: 0.250 0.750 0.628
Li: 0.750 0.250 0.372
Li: 0.750 0.750 0.989
As: 0.250 0.750 0.255
As: 0.750 0.250 0.745
H: 0.250 0.250 0.741
H: 0.750 0.750 0.259

Values from the calculation:
energy relative to the lowest polymorph listed for this composition	86	meV/atom
magnetic moment	0.00	μB per cell
DFT total energy	-26.2	eV for the cell shown
theoretical density	2.72	g/cm³
Fermi-level density of states	2.51	states/eV per cell



No. 2
AcYMgAg | PBE | relaxed

a b c (Å): 5.505 5.505 5.505
angles (deg): 60.00 60.00 60.00
Element x y z (fractional)
Ac: 0.000 0.000 0.000
Y: 0.500 0.500 0.500
Mg: 0.750 0.750 0.750
Ag: 0.250 0.250 0.250

Values from the calculation:
energy relative to the lowest polymorph listed for this composition	66	meV/atom
magnetic moment	0.00	μB per cell
DFT total energy	-15.5	eV for the cell shown
theoretical density	6.31	g/cm³
E_form	-0.11	eV/atom
Fermi-level density of states	3.95	states/eV per cell